Model 1:
VASP calculation (PBE-GGA) on an optimized crystal structure of MgV2N2.

It has space group P4/mbm (No. 127), with a = 6.2035 Å, b = 6.2035 Å, c = 2.6921 Å, α = 90.00°, β = 90.00° and γ = 90.00°. Symmetry generates all atoms from Mg at (0.0000, 0.0000, 0.0000), V at (0.1330, 0.3670, 0.0000) and N at (0.1480, 0.6480, 0.5000).

The value obtained for the density is 4.9 g/cm3.

***

Model 2:
VASP calculation (PBE-GGA) on an optimized crystal structure of MgV2N2.

It has space group I4/mmm (No. 139), with a = 3.6946 Å, b = 3.6946 Å, c = 8.2811 Å, α = 90.00°, β = 90.00° and γ = 90.00°. Symmetry generates all atoms from Mg at (0.0000, 0.0000, 0.0000), V at (0.0000, 0.0000, 0.3446) and N at (0.0000, 0.5000, 0.2500).

The value obtained for the density is 4.5 g/cm3.

***

It comes down to model 2, which is 62.8 kJ/mol of atoms more stable than the next structure.

***

Model 1:
VASP calculation (PBE-GGA) on an optimized crystal structure of MgVN.

It has space group P2_1/c (No. 14), with a = 4.8566 Å, b = 5.1003 Å, c = 7.1829 Å, α = 90.00°, β = 125.24° and γ = 90.00°. Symmetry generates all atoms from Mg at (0.1328, 0.0877, 0.3745), V at (0.3844, 0.5867, 0.6230) and N at (0.3791, 0.7357, 0.3702).

The value obtained for the density is 4.1 g/cm3.

***

Model 2:
VASP calculation (PBE-GGA) on an optimized crystal structure of MgVN.

It has space group P4/nmm (No. 129, origin choice 2), with a = 3.2264 Å, b = 3.2264 Å, c = 7.5608 Å, α = 90.00°, β = 90.00° and γ = 90.00°. Symmetry generates all atoms from Mg at (0.2500, 0.2500, 0.1760), V at (0.2500, 0.7500, 0.5000) and N at (0.2500, 0.2500, 0.6847).

The value obtained for the density is 3.8 g/cm3.

***

It comes down to model 1, which is 23.1 kJ/mol of atoms more stable than the next structure.

***

Model 1:
VASP calculation (PBE-GGA) on an optimized crystal structure of MgW3N.

It has space group Pm-3m (No. 221), with a = 4.1667 Å, b = 4.1667 Å, c = 4.1667 Å, α = 90.00°, β = 90.00° and γ = 90.00°. Symmetry generates all atoms from Mg at (0.0000, 0.0000, 0.0000), W at (0.0000, 0.5000, 0.5000) and N at (0.5000, 0.5000, 0.5000).

The value obtained for the density is 13.5 g/cm3.

***

Model 2:
VASP calculation (PBE-GGA) on an optimized crystal structure of MgW3N.

It has space group Pm-3m (No. 221), with a = 4.5431 Å, b = 4.5431 Å, c = 4.5431 Å, α = 90.00°, β = 90.00° and γ = 90.00°. Symmetry generates all atoms from Mg at (0.0000, 0.0000, 0.0000), W at (0.0000, 0.0000, 0.5000) and N at (0.5000, 0.5000, 0.5000).

The value obtained for the density is 10.4 g/cm3.

***

It comes down to model 1, which is 344.4 kJ/mol of atoms more stable than the next structure.

***

Model 1:
VASP calculation (PBE-GGA) on an optimized crystal structure of Y2Mg2N.

It has space group I4/mmm (No. 139), with a = 4.0564 Å, b = 4.0564 Å, c = 15.8808 Å, α = 90.00°, β = 90.00° and γ = 90.00°. Symmetry generates all atoms from Y at (0.0000, 0.5000, 0.2500), Mg at (0.0000, 0.0000, 0.0841) and N at (0.0000, 0.0000, 0.5000).

The value obtained for the density is 3.1 g/cm3.

***

Model 2:
VASP calculation (PBE-GGA) on an optimized crystal structure of Y2Mg2N.

It has space group P4/mbm (No. 127), with a = 6.1109 Å, b = 6.1109 Å, c = 5.8574 Å, α = 90.00°, β = 90.00° and γ = 90.00°. Symmetry generates all atoms from Y at (0.1701, 0.3299, 0.0000), Mg at (0.1765, 0.6765, 0.5000) and N at (0.0000, 0.0000, 0.5000).

The value obtained for the density is 3.7 g/cm3.

***

It comes down to model 2, which is 100.1 kJ/mol of atoms more stable than the next structure.

***

Model 1:
VASP calculation (PBE-GGA) on an optimized crystal structure of Y2MgN.

It has space group Fm-3m (No. 225), with a = 6.9601 Å, b = 6.9601 Å, c = 6.9601 Å, α = 90.00°, β = 90.00° and γ = 90.00°. Symmetry generates all atoms from Y at (0.2500, 0.2500, 0.2500), Mg at (0.0000, 0.0000, 0.0000) and N at (0.0000, 0.0000, 0.5000).

The value obtained for the density is 4.3 g/cm3.

***

Model 2:
VASP calculation (PBE-GGA) on an optimized crystal structure of Y2MgN.

It has space group R-3m (No. 166, hexagonal axes), with a = 3.4501 Å, b = 3.4501 Å, c = 27.5839 Å, α = 90.00°, β = 90.00° and γ = 120.00°. Symmetry generates all atoms from Y at (0.0000, 0.0000, 0.1187), Mg at (0.0000, 0.0000, 0.0000) and N at (0.0000, 0.0000, 0.5000).

The value obtained for the density is 3.8 g/cm3.

***

Model 3:
VASP calculation (PBE-GGA) on an optimized crystal structure of Y2MgN.

It has space group P6_3/mmc (No. 194), with a = 3.4984 Å, b = 3.4984 Å, c = 16.7942 Å, α = 90.00°, β = 90.00° and γ = 120.00°. Symmetry generates all atoms from Y at (0.3333, 0.6667, 0.0798), Mg at (0.3333, 0.6667, 0.7500) and N at (0.0000, 0.0000, 0.0000).

The value obtained for the density is 4.0 g/cm3.

***

It comes down to model 3, which is 17.2 kJ/mol of atoms more stable than the next structure.

***

Model 1:
VASP calculation (PBE-GGA) on an optimized crystal structure of MgZn2N.

It has space group Fm-3m (No. 225), with a = 6.1690 Å, b = 6.1690 Å, c = 6.1690 Å, α = 90.00°, β = 90.00° and γ = 90.00°. Symmetry generates all atoms from Mg at (0.0000, 0.0000, 0.0000), Zn at (0.2500, 0.2500, 0.2500) and N at (0.0000, 0.0000, 0.5000).

The value obtained for the density is 4.8 g/cm3.

***

Model 2:
VASP calculation (PBE-GGA) on an optimized crystal structure of MgZn2N.

It has space group I-42d (No. 122), with a = 5.9897 Å, b = 5.9897 Å, c = 8.1750 Å, α = 90.00°, β = 90.00° and γ = 90.00°. Symmetry generates all atoms from Mg at (0.0000, 0.0000, 0.0000), Zn at (0.1169, 0.2500, 0.6250) and N at (0.0000, 0.0000, 0.5000).

The value obtained for the density is 3.8 g/cm3.

***

It comes down to model 2, which is 63.0 kJ/mol of atoms more stable than the next structure.

***

Model 1:
VASP calculation (PBE-GGA) on an optimized crystal structure of MgZr2N.

It has space group C2/m (No. 12), with a = 5.6963 Å, b = 3.3161 Å, c = 7.9728 Å, α = 90.00°, β = 104.56° and γ = 90.00°. Symmetry generates all atoms from Mg at (0.0000, 0.0000, 0.0000), Zr at (0.2225, 0.0000, 0.6601) and N at (0.0000, 0.5000, 0.5000).

The value obtained for the density is 5.0 g/cm3.

***

Model 2:
VASP calculation (PBE-GGA) on an optimized crystal structure of MgZr2N.

It has space group R-3m (No. 166, hexagonal axes), with a = 3.2357 Å, b = 3.2357 Å, c = 25.8254 Å, α = 90.00°, β = 90.00° and γ = 120.00°. Symmetry generates all atoms from Mg at (0.0000, 0.0000, 0.0000), Zr at (0.0000, 0.0000, 0.1176) and N at (0.0000, 0.0000, 0.5000).

The value obtained for the density is 4.7 g/cm3.

***

It comes down to model 1, which is 25.0 kJ/mol of atoms more stable than the next structure.